10
Lattice="6.618 0.000 0.000 0.000 4.130 0.000 -0.194 0.000 7.634" Properties=species:S:1:pos:R:3 comment="CrBiBrO2, relaxed, DFT PBE+U" energy_ev_per_atom=-5.895 space_group="No. 11" volume_a3_per_fu=104.32 dos_at_fermi_per_ev_cell=0.000 pbc="T T T"
Cr 0.280 1.032 2.801
Cr 6.144 3.097 4.833
Bi 1.146 1.032 6.806
Bi 5.278 3.097 0.828
Br 3.077 1.032 1.949
Br 3.347 3.097 5.685
O 0.001 1.032 4.856
O 0.083 3.097 6.814
O 6.341 1.032 0.820
O 6.423 3.097 2.778